Record 1
# Ho3NbN4, relaxed, DFT PBE
data_Ho3NbN4
_chemical_formula_sum 'Ho3 Nb1 N4'
_symmetry_space_group_name_H-M 'P 1'
_symmetry_Int_Tables_number 1
_cell_length_a 3.341
_cell_length_b 5.805
_cell_length_c 5.805
_cell_angle_alpha 109.13
_cell_angle_beta 90.00
_cell_angle_gamma 90.00
loop_
_symmetry_equiv_pos_as_xyz
'x,y,z'
loop_
_atom_site_label
_atom_site_fract_x
_atom_site_fract_y
_atom_site_fract_z
Nb1 0.500 0.000 0.000
Ho1 0.000 0.500 0.000
Ho2 0.000 0.000 0.500
Ho3 0.500 0.500 0.500
N1 0.500 0.239 0.761
N2 0.000 0.235 0.235
N3 0.000 0.765 0.765
N4 0.500 0.761 0.239
# Calculated total energy ... -8.686 eV/atom
# Total magnetic moment ... 0.0 μB/f.u.
# Formation energy (no corrections) ... -1548 meV/atom

---

Record 2
# Y2Ho3Ni2, relaxed, DFT PBE
data_Y2Ho3Ni2
_chemical_formula_sum 'Y2 Ho3 Ni2'
_symmetry_space_group_name_H-M 'P 1'
_symmetry_Int_Tables_number 1
_cell_length_a 3.667
_cell_length_b 10.072
_cell_length_c 6.315
_cell_angle_alpha 54.51
_cell_angle_beta 73.13
_cell_angle_gamma 89.98
loop_
_symmetry_equiv_pos_as_xyz
'x,y,z'
loop_
_atom_site_label
_atom_site_fract_x
_atom_site_fract_y
_atom_site_fract_z
Ho1 0.000 0.000 0.000
Ho2 0.169 0.719 0.662
Ho3 0.831 0.281 0.338
Ni1 0.330 0.069 0.340
Ni2 0.670 0.931 0.660
Y1 0.400 0.635 0.201
Y2 0.600 0.365 0.799
# Calculated formation energy ... -149 meV per atom
# Calculated total energy ... -5.610 eV/atom
# Total magnetic moment ... 0.0 μB/f.u.
# Relative energy among the computed polymorphs ... 112.1 meV/atom

---

Record 3
# PuMgZnTc, relaxed, DFT PBE
data_PuMgZnTc
_chemical_formula_sum 'Pu1 Mg1 Zn1 Tc1'
_symmetry_space_group_name_H-M 'P 1'
_symmetry_Int_Tables_number 1
_cell_length_a 4.726
_cell_length_b 4.726
_cell_length_c 4.726
_cell_angle_alpha 60.00
_cell_angle_beta 60.00
_cell_angle_gamma 60.00
loop_
_symmetry_equiv_pos_as_xyz
'x,y,z'
loop_
_atom_site_label
_atom_site_fract_x
_atom_site_fract_y
_atom_site_fract_z
Mg1 0.250 0.250 0.250
Zn1 0.500 0.500 0.500
Pu1 0.750 0.750 0.750
Tc1 0.000 0.000 0.000
# Calculated formation energy ... 187 meV per atom
# Calculated total energy ... -6.705 eV/atom
# Total magnetic moment ... 4.7 μB/f.u.

---

Record 4
# RuWCl2, relaxed, DFT PBE
data_RuWCl2
_chemical_formula_sum 'Ru1 W1 Cl2'
_symmetry_space_group_name_H-M 'P 1'
_symmetry_Int_Tables_number 1
_cell_length_a 3.057
_cell_length_b 3.057
_cell_length_c 8.772
_cell_angle_alpha 90.00
_cell_angle_beta 90.00
_cell_angle_gamma 124.54
loop_
_symmetry_equiv_pos_as_xyz
'x,y,z'
loop_
_atom_site_label
_atom_site_fract_x
_atom_site_fract_y
_atom_site_fract_z
W1 0.500 0.500 0.750
Ru1 0.500 0.500 0.250
Cl1 0.000 0.000 0.517
Cl2 0.000 0.000 0.983
# Calculated total energy ... -5.670 eV/atom
# Total magnetic moment ... 2.2 μB/f.u.
# Formation energy (no corrections) ... 810 meV/atom
# Relative energy among the computed polymorphs ... 1008.2 meV/atom

---

Record 5
# AcPuSn, relaxed, DFT PBE
data_AcPuSn
_chemical_formula_sum 'Ac2 Pu2 Sn2'
_symmetry_space_group_name_H-M 'P 1'
_symmetry_Int_Tables_number 1
_cell_length_a 4.760
_cell_length_b 4.760
_cell_length_c 8.845
_cell_angle_alpha 90.00
_cell_angle_beta 90.00
_cell_angle_gamma 90.00
loop_
_symmetry_equiv_pos_as_xyz
'x,y,z'
loop_
_atom_site_label
_atom_site_fract_x
_atom_site_fract_y
_atom_site_fract_z
Sn1 0.000 0.500 0.242
Sn2 0.500 0.000 0.758
Ac1 0.500 0.000 0.152
Ac2 0.000 0.500 0.848
Pu1 0.500 0.500 0.500
Pu2 0.000 0.000 0.500
# Calculated formation energy ... -435 meV per atom
# Calculated total energy ... -7.916 eV/atom
# Total magnetic moment ... 6.9 μB/f.u.
# Relative energy among the computed polymorphs ... 0.0 meV/atom

---

Record 6
# Sm4MgAg, relaxed, DFT PBE
data_Sm4MgAg
_chemical_formula_sum 'Sm4 Mg1 Ag1'
_symmetry_space_group_name_H-M 'P 1'
_symmetry_Int_Tables_number 1
_cell_length_a 5.086
_cell_length_b 5.088
_cell_length_c 7.767
_cell_angle_alpha 89.99
_cell_angle_beta 90.01
_cell_angle_gamma 90.00
loop_
_symmetry_equiv_pos_as_xyz
'x,y,z'
loop_
_atom_site_label
_atom_site_fract_x
_atom_site_fract_y
_atom_site_fract_z
Ag1 0.001 0.997 0.498
Sm1 0.501 0.997 0.265
Sm2 0.001 0.497 0.731
Sm3 0.501 0.998 0.731
Sm4 0.001 0.497 0.266
Mg1 0.501 0.497 0.998
# Calculated formation energy ... 227 meV per atom
# Calculated total energy ... -3.660 eV/atom
# Total magnetic moment ... 0.0 μB/f.u.

---

Record 7
# ErScAgOs, relaxed, DFT PBE
data_ErScAgOs
_chemical_formula_sum 'Er1 Sc1 Ag1 Os1'
_symmetry_space_group_name_H-M 'P 1'
_symmetry_Int_Tables_number 1
_cell_length_a 3.301
_cell_length_b 3.301
_cell_length_c 7.359
_cell_angle_alpha 90.00
_cell_angle_beta 90.00
_cell_angle_gamma 90.00
loop_
_symmetry_equiv_pos_as_xyz
'x,y,z'
loop_
_atom_site_label
_atom_site_fract_x
_atom_site_fract_y
_atom_site_fract_z
Er1 0.500 0.500 0.789
Os1 0.000 0.000 0.555
Sc1 0.500 0.500 0.352
Ag1 0.000 0.000 0.089
# Calculated formation energy ... -395 meV per atom
# Calculated total energy ... -6.639 eV/atom
# Total magnetic moment ... 0.0 μB/f.u.
# Relative energy among the computed polymorphs ... 0.0 meV/atom

---

Record 8
# LiTm3Te4, relaxed, DFT PBE
data_LiTm3Te4
_chemical_formula_sum 'Li1 Tm3 Te4'
_symmetry_space_group_name_H-M 'P 1'
_symmetry_Int_Tables_number 1
_cell_length_a 6.065
_cell_length_b 6.065
_cell_length_c 7.424
_cell_angle_alpha 114.11
_cell_angle_beta 114.11
_cell_angle_gamma 90.00
loop_
_symmetry_equiv_pos_as_xyz
'x,y,z'
loop_
_atom_site_label
_atom_site_fract_x
_atom_site_fract_y
_atom_site_fract_z
Te1 0.244 0.244 0.488
Te2 0.000 0.500 0.000
Te3 0.500 0.000 0.000
Te4 0.756 0.756 0.512
Tm1 0.750 0.250 0.500
Tm2 0.500 0.500 0.000
Tm3 0.250 0.750 0.500
Li1 0.000 0.000 0.000
# Calculated total energy ... -4.724 eV/atom
# Total magnetic moment ... 0.0 μB/f.u.
# Formation energy (no corrections) ... -1237 meV/atom
# Relative energy among the computed polymorphs ... 0.0 meV/atom

---

Record 9
# CeHo3F, relaxed, DFT PBE
data_CeHo3F
_chemical_formula_sum 'Ce1 Ho3 F1'
_symmetry_space_group_name_H-M 'P 1'
_symmetry_Int_Tables_number 1
_cell_length_a 5.021
_cell_length_b 5.021
_cell_length_c 5.021
_cell_angle_alpha 90.00
_cell_angle_beta 90.00
_cell_angle_gamma 90.00
loop_
_symmetry_equiv_pos_as_xyz
'x,y,z'
loop_
_atom_site_label
_atom_site_fract_x
_atom_site_fract_y
_atom_site_fract_z
Ho1 0.500 0.000 0.000
Ho2 0.000 0.000 0.500
Ho3 0.000 0.500 0.000
Ce1 0.500 0.500 0.500
F1 0.000 0.000 0.000
# Calculated total energy ... -5.161 eV/atom
# Total magnetic moment ... 0.9 μB/f.u.
# Formation energy (no corrections) ... -854 meV/atom

---

Record 10
# Fe2AsAu, relaxed, DFT PBE
data_Fe2AsAu
_chemical_formula_sum 'Fe4 As2 Au2'
_symmetry_space_group_name_H-M 'P 1'
_symmetry_Int_Tables_number 1
_cell_length_a 3.832
_cell_length_b 3.832
_cell_length_c 9.273
_cell_angle_alpha 78.07
_cell_angle_beta 78.07
_cell_angle_gamma 90.00
loop_
_symmetry_equiv_pos_as_xyz
'x,y,z'
loop_
_atom_site_label
_atom_site_fract_x
_atom_site_fract_y
_atom_site_fract_z
Fe1 0.579 0.125 0.250
Fe2 0.375 0.421 0.750
Fe3 0.875 0.829 0.750
Fe4 0.171 0.625 0.250
Au1 0.750 0.250 0.500
Au2 0.000 0.000 0.000
As1 0.500 0.500 0.000
As2 0.250 0.750 0.500
# Calculated formation energy ... 402 meV per atom
# Calculated total energy ... -5.811 eV/atom
# Total magnetic moment ... 5.5 μB/f.u.

---

Record 11
# Nb3SCl, relaxed, DFT PBE
data_Nb3SCl
_chemical_formula_sum 'Nb3 S1 Cl1'
_symmetry_space_group_name_H-M 'P 1'
_symmetry_Int_Tables_number 1
_cell_length_a 4.648
_cell_length_b 4.648
_cell_length_c 4.648
_cell_angle_alpha 90.00
_cell_angle_beta 90.00
_cell_angle_gamma 90.00
loop_
_symmetry_equiv_pos_as_xyz
'x,y,z'
loop_
_atom_site_label
_atom_site_fract_x
_atom_site_fract_y
_atom_site_fract_z
Nb1 0.000 0.000 0.500
Nb2 0.000 0.500 0.000
Nb3 0.500 0.000 0.000
Cl1 0.500 0.500 0.500
S1 0.000 0.000 0.000
# Calculated total energy ... -6.741 eV/atom
# Total magnetic moment ... 0.0 μB/f.u.
# Formation energy (no corrections) ... 495 meV/atom
# Relative energy among the computed polymorphs ... 0.0 meV/atom

---

Record 12
# SrLa2GaIr, relaxed, DFT PBE
data_SrLa2GaIr
_chemical_formula_sum 'Sr1 La2 Ga1 Ir1'
_symmetry_space_group_name_H-M 'P 1'
_symmetry_Int_Tables_number 1
_cell_length_a 5.669
_cell_length_b 5.669
_cell_length_c 5.042
_cell_angle_alpha 90.00
_cell_angle_beta 90.00
_cell_angle_gamma 90.00
loop_
_symmetry_equiv_pos_as_xyz
'x,y,z'
loop_
_atom_site_label
_atom_site_fract_x
_atom_site_fract_y
_atom_site_fract_z
Ir1 0.000 0.000 0.000
La1 0.000 0.500 0.000
La2 0.500 0.000 0.000
Ga1 0.000 0.000 0.500
Sr1 0.500 0.500 0.500
# Calculated formation energy ... -354 meV per atom
# Calculated total energy ... -5.039 eV/atom
# Total magnetic moment ... 0.0 μB/f.u.